DFT (PBE+U) results for CoPbSeO after structural relaxation.

Cell: 4.482 4.482 8.162 Å, 90.00 90.00 90.00°
Space group P4/nmm (No. 129, origin choice 2)
Symmetry-distinct sites (fractional):
Co (0.250, 0.250, 0.247) x2
Pb (0.250, 0.750, 0.500) x2
Se (0.250, 0.250, 0.811) x2
O (0.250, 0.250, 0.027) x2

Results
**V**: 82.0 Å³/f.u.
**Offset from the most stable computed form**: 1082.1 meV per atom